1.
A plane-wave DFT calculation with GGA-PBE was carried out for Tc4W5 after structural relaxation.

a = 7.8883 Å, b = 7.8883 Å, c = 5.2504 Å
α = 90.00°, β = 90.00°, γ = 120.00°
Closest atoms and distances in Å follow each position.
Space group P6_3/mcm (No. 193)
Unique sites:
Tc (0.0000, 0.0000, 0.0000) (multiplicity 2)  2 Tc 2.63, 6 W 2.69
Tc (0.0000, 0.3730, 0.2500) (multiplicity 6)  9 W 2.59-2.81
W (0.0000, 0.2982, 0.7500) (multiplicity 6)  7 Tc 2.59-2.70
W (0.3333, 0.6667, 0.0000) (multiplicity 4)  2 W 2.63, 6 Tc 2.81

Results
As for the crystal system: hexagonal. Its energy relative to the lowest polymorph listed for this composition is 189 meV/atom.


2.
A plane-wave DFT calculation with GGA-PBE was carried out for Tc3W after structural relaxation.

a = 5.5506 Å, b = 7.8149 Å, c = 2.7739 Å
α = 90.00°, β = 90.00°, γ = 90.00°
Closest atoms and distances in Å follow each position.
Space group Cmmm (No. 65)
Unique sites:
Tc (0.0000, 0.0000, 0.0000) (multiplicity 2)  10 Tc 2.77, 2 W 2.78
Tc (0.2500, 0.2500, 0.5000) (multiplicity 4)  4 W 2.77, 8 Tc 2.77-2.78
W (0.0000, 0.5000, 0.0000) (multiplicity 2)  10 Tc 2.77-2.78, 2 W 2.77

Results
As for the crystal system: orthorhombic.


3.
A plane-wave DFT calculation with GGA-PBE was carried out for Tc2W after structural relaxation.

a = 4.4069 Å, b = 4.4069 Å, c = 2.7274 Å
α = 90.00°, β = 90.00°, γ = 120.00°
Closest atoms and distances in Å follow each position.
Space group P6/mmm (No. 191)
Unique sites:
Tc (0.3333, 0.6667, 0.0000) (multiplicity 2)  5 Tc 2.54-2.73
W (0.0000, 0.0000, 0.5000) (multiplicity 1)  2 W 2.73, 12 Tc 2.89

Results
As for the crystal system: hexagonal. Its energy relative to the lowest polymorph listed for this composition is 138 meV/atom.


4.
A plane-wave DFT calculation with GGA-PBE was carried out for Tc3W after structural relaxation.

a = 3.1010 Å, b = 4.4184 Å, c = 8.8555 Å
α = 90.00°, β = 90.00°, γ = 90.00°
Closest atoms and distances in Å follow each position.
Space group Immm (No. 71)
Unique sites:
Tc (0.0000, 0.0000, 0.0000) (multiplicity 2)  4 W 2.70, 4 Tc 2.81
Tc (0.0000, 0.5000, 0.2350) (multiplicity 4)  2 W 2.59, 6 Tc 2.71-2.81
W (0.0000, 0.0000, 0.5000) (multiplicity 2)  8 Tc 2.59-2.70

Results
As for the crystal system: orthorhombic.


no.,D(E_F) (states/eV per atom),energy of formation (kJ/mol of atoms)
1,0.95,28.2
2,1.12,12.5
3,1.17,22.4
4,0.95,12.2